Entry 1:
The following is a PBE calculation of an optimized crystal structure of LaZr2Mo, from Alexandria.

Computed properties:
The calculation puts the energy relative to the elements at 0.44 eV/atom. The value obtained for the excess energy over the best structure of this formula in the dataset is 0.352 eV/atom. The value obtained for the total energy is -7.7766 eV/atom. For the density of states at the Fermi level, the calculation gives 10.27 states/eV/cell.

abc: 4.390 4.390 9.472
angles: 90.00 90.00 90.00
Fractional coordinates of all 8 atoms:
La 0.000 0.000 0.000
La 0.500 0.500 0.500
Zr 0.000 0.000 0.500
Zr 0.000 0.500 0.250
Zr 0.500 0.000 0.750
Zr 0.500 0.500 0.000
Mo 0.000 0.500 0.750
Mo 0.500 0.000 0.250

=====

Entry 2:
The following is a PBE calculation of an optimized crystal structure of Ho2Ni6Ge, from Alexandria.

Computed properties:
The calculation puts the energy relative to the elements at -0.46 eV/atom. The value obtained for the excess energy over the best structure of this formula in the dataset is 0.000 eV/atom. The value obtained for the total energy is -5.8483 eV/atom. For the density of states at the Fermi level, the calculation gives 4.95 states/eV/cell.

abc: 5.195 5.195 5.745
angles: 101.71 101.71 60.78
Fractional coordinates of all 9 atoms:
Ho 0.143 0.143 0.338
Ho 0.857 0.857 0.662
Ni 0.102 0.625 0.169
Ni 0.375 0.898 0.831
Ni 0.380 0.380 0.824
Ni 0.620 0.620 0.176
Ni 0.625 0.102 0.169
Ni 0.898 0.375 0.831
Ge 0.500 0.500 0.500

=====

Question: What is the energy relative to the elements in the first record?
Answer: 0.44 eV/atom